# GGA-PBE CdGeBiH, relaxed
data_CdGeBiH
_cell_length_a 5.063
_cell_length_b 4.391
_cell_length_c 8.897
_cell_angle_alpha 90.00
_cell_angle_beta 94.99
_cell_angle_gamma 90.00
_symmetry_space_group_name_H-M 'P 1'
_symmetry_Int_Tables_number 1
loop_
_symmetry_equiv_pos_as_xyz
'x,y,z'
loop_
_atom_site_label
_atom_site_type_symbol
_atom_site_fract_x
_atom_site_fract_y
_atom_site_fract_z
Ge1 Ge 0.032 0.500 0.894
Bi1 Bi 0.372 0.000 0.875
H1 H 0.939 0.500 0.061
Cd1 Cd 0.654 0.500 0.669
Ge2 Ge 0.032 0.000 0.394
Cd2 Cd 0.654 0.000 0.169
Bi2 Bi 0.372 0.500 0.375
H2 H 0.939 0.000 0.561
# Theoretical density, Mg/m³: 6.7
# Energy above the most stable polymorph in this dataset, eV/atom: 0.000
# Symmetry: No. 8
# Final energy, eV per atom: -3.025
# Total moment, μB/f.u.: 0.00